Below is crystalline Hg2AsOs at its relaxed geometry, with properties calculated at the PBE level.

## Properties
As for the density of states at the Fermi level: 3.92 states/eV per cell. As for the total energy: -3.205 eV/atom.

```
data_Hg2AsOs
_chemical_formula_sum 'Hg2 As1 Os1'
_space_group_name_H-M_alt 'P 4/m m m'
_space_group_IT_number 123
_space_group_name_Hall '-P 4 2'
_cell_length_a 4.007
_cell_length_b 4.007
_cell_length_c 4.699
_cell_angle_alpha 90.00
_cell_angle_beta 90.00
_cell_angle_gamma 90.00
loop_
_atom_site_label
_atom_site_type_symbol
_atom_site_fract_x
_atom_site_fract_y
_atom_site_fract_z
Hg1 Hg 0.000 0.500 0.000
As1 As 0.000 0.000 0.500
Os1 Os 0.500 0.500 0.500
```

=====

Below is crystalline Hg2AsOs at its relaxed geometry, with properties calculated at the PBE level.

## Properties
As for the density of states at the Fermi level: 2.98 states/eV per cell. As for the total energy: -3.704 eV/atom.

```
data_Hg2AsOs
_chemical_formula_sum 'Hg2 As1 Os1'
_space_group_name_H-M_alt 'P 1 m 1'
_space_group_IT_number 6
_cell_length_a 4.621
_cell_length_b 3.071
_cell_length_c 6.899
_cell_angle_alpha 90.00
_cell_angle_beta 109.34
_cell_angle_gamma 90.00
loop_
_space_group_symop_operation_xyz
'x,y,z'
'x,-y,z'
loop_
_atom_site_label
_atom_site_type_symbol
_atom_site_fract_x
_atom_site_fract_y
_atom_site_fract_z
Hg1 Hg 0.000 0.000 0.000
Hg2 Hg 0.318 0.500 0.637
As1 As 0.644 0.500 0.288
Os1 Os 0.786 0.000 0.572
```

=====

Below is crystalline Hg2AsOs at its relaxed geometry, with properties calculated at the PBE level.

## Properties
As for the density of states at the Fermi level: 5.27 states/eV per cell. As for the total energy: -3.294 eV/atom.

```
data_Hg2AsOs
_chemical_formula_sum 'Hg4 As2 Os2'
_space_group_name_H-M_alt 'C m m m'
_space_group_IT_number 65
_space_group_name_Hall '-C 2 2'
_cell_length_a 5.788
_cell_length_b 10.076
_cell_length_c 2.744
_cell_angle_alpha 90.00
_cell_angle_beta 90.00
_cell_angle_gamma 90.00
loop_
_atom_site_label
_atom_site_type_symbol
_atom_site_fract_x
_atom_site_fract_y
_atom_site_fract_z
Hg1 Hg 0.250 0.250 0.000
As1 As 0.000 0.000 0.000
Os1 Os 0.000 0.500 0.000
```

=====

Below is crystalline Hg2AsOs at its relaxed geometry, with properties calculated at the PBE level.

## Properties
As for the density of states at the Fermi level: 4.92 states/eV per cell. As for the total energy: -3.684 eV/atom.

```
data_Hg2AsOs
_chemical_formula_sum 'Hg4 As2 Os2'
_space_group_name_H-M_alt 'C m m 2'
_space_group_IT_number 35
_cell_length_a 3.050
_cell_length_b 5.167
_cell_length_c 10.854
_cell_angle_alpha 90.00
_cell_angle_beta 90.00
_cell_angle_gamma 90.00
loop_
_space_group_symop_operation_xyz
'x,y,z'
'-x,-y,z'
'-x,y,z'
'x,-y,z'
'x+1/2,y+1/2,z'
'-x+1/2,-y+1/2,z'
'-x+1/2,y+1/2,z'
'x+1/2,-y+1/2,z'
loop_
_atom_site_label
_atom_site_type_symbol
_atom_site_fract_x
_atom_site_fract_y
_atom_site_fract_z
Hg1 Hg 0.000 0.000 0.000
Hg2 Hg 0.000 0.500 0.284
As1 As 0.000 0.500 0.685
Os1 Os 0.000 0.000 0.514
```

=====

Below is crystalline HgAs2Os at its relaxed geometry, with properties calculated at the PBE level.

## Properties
As for the density of states at the Fermi level: 7.84 states/eV per cell. As for the total energy: -4.351 eV/atom.

```
data_HgAs2Os
_chemical_formula_sum 'Hg2 As4 Os2'
_space_group_name_H-M_alt 'I -4 m 2'
_space_group_IT_number 119
_space_group_name_Hall 'I -4 -2'
_cell_length_a 4.084
_cell_length_b 4.084
_cell_length_c 8.591
_cell_angle_alpha 90.00
_cell_angle_beta 90.00
_cell_angle_gamma 90.00
loop_
_atom_site_label
_atom_site_type_symbol
_atom_site_fract_x
_atom_site_fract_y
_atom_site_fract_z
Hg1 Hg 0.000 0.000 0.000
As1 As 0.000 0.000 0.500
As2 As 0.000 0.500 0.250
Os1 Os 0.000 0.500 0.750
```

=====

Below is crystalline Hg2AsOs at its relaxed geometry, with properties calculated at the PBE level.

## Properties
As for the density of states at the Fermi level: 2.14 states/eV per cell. As for the total energy: -3.856 eV/atom.

```
data_Hg2AsOs
_chemical_formula_sum 'Hg2 As1 Os1'
_space_group_name_H-M_alt 'P 4 m m'
_space_group_IT_number 99
_cell_length_a 3.027
_cell_length_b 3.027
_cell_length_c 9.275
_cell_angle_alpha 90.00
_cell_angle_beta 90.00
_cell_angle_gamma 90.00
loop_
_space_group_symop_operation_xyz
'x,y,z'
'-y,x,z'
'-x,-y,z'
'y,-x,z'
'-x,y,z'
'y,x,z'
'x,-y,z'
'-y,-x,z'
loop_
_atom_site_label
_atom_site_type_symbol
_atom_site_fract_x
_atom_site_fract_y
_atom_site_fract_z
Hg1 Hg 0.000 0.000 0.000
Hg2 Hg 0.500 0.500 0.311
As1 As 0.500 0.500 0.681
Os1 Os 0.000 0.000 0.532
```

=====

Below is crystalline HgAs2Os at its relaxed geometry, with properties calculated at the PBE level.

## Properties
As for the density of states at the Fermi level: 7.07 states/eV per cell. As for the total energy: -4.645 eV/atom.

```
data_HgAs2Os
_chemical_formula_sum 'Hg2 As4 Os2'
_space_group_name_H-M_alt 'C m m 2'
_space_group_IT_number 35
_cell_length_a 2.998
_cell_length_b 5.133
_cell_length_c 10.358
_cell_angle_alpha 90.00
_cell_angle_beta 90.00
_cell_angle_gamma 90.00
loop_
_space_group_symop_operation_xyz
'x,y,z'
'-x,-y,z'
'-x,y,z'
'x,-y,z'
'x+1/2,y+1/2,z'
'-x+1/2,-y+1/2,z'
'-x+1/2,y+1/2,z'
'x+1/2,-y+1/2,z'
loop_
_atom_site_label
_atom_site_type_symbol
_atom_site_fract_x
_atom_site_fract_y
_atom_site_fract_z
Hg1 Hg 0.000 0.000 0.000
As1 As 0.000 0.000 0.576
As2 As 0.000 0.500 0.251
Os1 Os 0.000 0.500 0.759
```

=====

Below is crystalline Hg2AsOs at its relaxed geometry, with properties calculated at the PBE level.

## Properties
As for the density of states at the Fermi level: 7.17 states/eV per cell. As for the total energy: -3.273 eV/atom.

```
data_Hg2AsOs
_chemical_formula_sum 'Hg4 As2 Os2'
_space_group_name_H-M_alt 'I -4 m 2'
_space_group_IT_number 119
_space_group_name_Hall 'I -4 -2'
_cell_length_a 4.224
_cell_length_b 4.224
_cell_length_c 8.434
_cell_angle_alpha 90.00
_cell_angle_beta 90.00
_cell_angle_gamma 90.00
loop_
_atom_site_label
_atom_site_type_symbol
_atom_site_fract_x
_atom_site_fract_y
_atom_site_fract_z
Hg1 Hg 0.000 0.000 0.000
Hg2 Hg 0.000 0.500 0.250
As1 As 0.000 0.000 0.500
Os1 Os 0.000 0.500 0.750
```